DFT (PBE) results for Zn4InSn after structural relaxation.

Cell lengths 7.7216, 7.7216, 7.7216 Å; angles 90.00, 90.00, 90.00 degrees
Space group F-43m (No. 216)
Symmetry-distinct sites (fractional):
Zn: 0.1249 0.1249 0.1249 [16 per cell]
In: 0.0000 0.0000 0.5000 [4 per cell]
Sn: 0.2500 0.2500 0.7500 [4 per cell]

Energy of formation (kJ/mol of formula units): 44
Calculated total energy (eV/cell): -45.53
Magnetic moment (μB per formula unit): 0.0